Here is crystalline CuTeCl3 at its relaxed geometry from Alexandria via LeMat-Bulk. Energies are from GGA-PBEsol.

Unit cell a=5.2885 b=5.2885 c=5.2885 alpha=90.00 beta=90.00 gamma=90.00
Sites, in units of the cell vectors:
Cu: 0.0000 0.0000 0.0000
Te: 0.5000 0.5000 0.5000
Cl: 0.0000 0.5000 0.5000
Cl: 0.5000 0.0000 0.5000
Cl: 0.5000 0.5000 0.0000

Total DFT energy (no corrections) (eV/cell): -12.4
ΔE_f (raw) (eV/f.u.): 1.5
Space-group type: No. 221
N(E_F) (states/eV per cell): 1.92